(1)
Tb3In3CuAu2 | PBE | optimized geometry

Cell and atoms, written as POSCAR:
```
Tb3In3CuAu2
1.0
7.792 0.000 0.000
-3.896 6.748 0.000
0.000 0.000 3.889
Tb In Cu Au
3 3 1 2
Direct
0.000 0.594 0.000
0.406 0.406 0.000
0.594 0.000 0.000
0.000 0.249 0.500
0.249 0.000 0.500
0.751 0.751 0.500
0.000 0.000 0.000
0.333 0.667 0.500
0.667 0.333 0.500
```

crystal system: hexagonal
space-group type: P-62m


(2)
TbTm2In3CuAu2 | PBE | optimized geometry

Cell and atoms, written as POSCAR:
```
TbTm2In3CuAu2
1.0
3.832 0.000 0.000
0.000 6.717 3.859
0.000 -6.717 3.859
Tb Tm In Cu Au
1 2 3 1 2
Direct
0.000 0.000 0.000
0.000 0.403 0.804
0.000 0.804 0.403
0.500 0.151 0.404
0.500 0.404 0.151
0.500 0.655 0.655
0.000 0.404 0.404
0.500 0.071 0.733
0.500 0.733 0.071
```

crystal system: orthorhombic
space-group type: Amm2


(3)
In2CuTe4Au | PBE | optimized geometry

Cell and atoms, written as POSCAR:
```
In2CuTe4Au
1.0
-3.203 3.203 6.387
3.203 -3.203 6.387
3.203 3.203 -6.387
In Cu Te Au
2 1 4 1
Direct
0.000 0.000 0.000
0.750 0.250 0.500
0.500 0.500 0.000
0.154 0.619 0.013
0.381 0.394 0.535
0.606 0.140 0.987
0.860 0.846 0.465
0.250 0.750 0.500
```

crystal system: tetragonal
space-group type: I-4


(4)
Tm3In3Cu2Au | PBE | optimized geometry

Cell and atoms, written as POSCAR:
```
Tm3In3Cu2Au
1.0
7.541 0.000 0.000
-3.771 6.531 0.000
0.000 0.000 3.900
Tm In Cu Au
3 3 2 1
Direct
0.000 0.405 0.000
0.405 0.000 0.000
0.595 0.595 0.000
0.000 0.727 0.500
0.273 0.273 0.500
0.727 0.000 0.500
0.333 0.667 0.500
0.667 0.333 0.500
0.000 0.000 0.000
```

crystal system: hexagonal
space-group type: P-62m


Number 1: total energy -4.27 eV/atom. Number 2: total energy -4.22 eV/atom. Number 3: total energy -3.39 eV/atom. Number 4: total energy -4.08 eV/atom.